[1]
# Ag3As, relaxed, DFT GGA-PBE
# - DOS at the Fermi energy: 0.7 states/eV/f.u.
# - Uncorrected energy: -3.21 eV per atom
# - Formation energy: 36.9 kJ/mol of formula units
data_Ag3As
_symmetry_space_group_name_H-M 'P m -3 m'
_symmetry_Int_Tables_number 221
_symmetry_space_group_name_Hall '-P 4 2 3'
_cell_length_a 4.173
_cell_length_b 4.173
_cell_length_c 4.173
_cell_angle_alpha 90.00
_cell_angle_beta 90.00
_cell_angle_gamma 90.00
loop_
_atom_site_label
_atom_site_type_symbol
_atom_site_fract_x
_atom_site_fract_y
_atom_site_fract_z
_atom_site_occupancy
Ag1 Ag 0.000 0.000 0.500 1
As1 As 0.500 0.500 0.500 1



[2]
# NdTmAs2Pd5, relaxed, DFT GGA-PBE
# - DOS at the Fermi energy: 2.5 states/eV/f.u.
# - Uncorrected energy: -5.71 eV per atom
# - Formation energy: -663.5 kJ/mol of formula units
data_NdTmAs2Pd5
_symmetry_space_group_name_H-M 'P 4/m m m'
_symmetry_Int_Tables_number 123
_symmetry_space_group_name_Hall '-P 4 2'
_cell_length_a 4.268
_cell_length_b 4.268
_cell_length_c 9.260
_cell_angle_alpha 90.00
_cell_angle_beta 90.00
_cell_angle_gamma 90.00
loop_
_atom_site_label
_atom_site_type_symbol
_atom_site_fract_x
_atom_site_fract_y
_atom_site_fract_z
_atom_site_occupancy
Nd1 Nd 0.000 0.000 0.000 1
Tm1 Tm 0.000 0.000 0.500 1
As1 As 0.500 0.500 0.365 1
Pd1 Pd 0.000 0.500 0.230 1
Pd2 Pd 0.500 0.500 0.000 1



[3]
# EuHoGaHg, relaxed, DFT GGA-PBE
# - DOS at the Fermi energy: 5.7 states/eV/f.u.
# - Uncorrected energy: -5.03 eV per atom
# - Formation energy: -185.2 kJ/mol of formula units
data_EuHoGaHg
_symmetry_space_group_name_H-M 'F -4 3 m'
_symmetry_Int_Tables_number 216
_symmetry_space_group_name_Hall 'F -4 2 3'
_cell_length_a 7.468
_cell_length_b 7.468
_cell_length_c 7.468
_cell_angle_alpha 90.00
_cell_angle_beta 90.00
_cell_angle_gamma 90.00
loop_
_atom_site_label
_atom_site_type_symbol
_atom_site_fract_x
_atom_site_fract_y
_atom_site_fract_z
_atom_site_occupancy
Eu1 Eu 0.000 0.000 0.000 1
Ho1 Ho 0.000 0.000 0.500 1
Ga1 Ga 0.250 0.250 0.250 1
Hg1 Hg 0.250 0.250 0.750 1